First-principles (GGA-PBEsol) data for a relaxed AlZn2SbIr crystal, as listed in the Alexandria database.

## Properties
- E_form (uncorrected): 1.180 eV/atom
- Magnetization: 0.002 μB per atom

a b c (Å): 4.4505 4.4505 5.2319
angles (deg): 90.00 90.00 90.00
With the nearest neighbours (Å) after each atom.
Positions (direct):
Zn: 0.5000 0.0000 0.0000  2 Al 2.23
Zn: 0.0000 0.5000 0.0000  2 Al 2.23
Ir: 0.5000 0.5000 0.5000  4 Sb 3.15, 8 Zn 3.43
Sb: 0.0000 0.0000 0.5000  2 Al 2.62
Al: 0.0000 0.0000 0.0000  4 Zn 2.23

***

First-principles (GGA-PBEsol) data for a relaxed Sr3Ir crystal, as listed in the Alexandria database.

## Properties
- Magnetization: 0.000 μB per atom
- ΔH_f (0 K): 0.078 eV per atom

a b c (Å): 5.8258 5.8258 5.8258
angles (deg): 90.00 90.00 90.00
With the nearest neighbours (Å) after each atom.
Positions (direct):
Sr: 0.5000 0.0000 0.0000  2 Ir 2.91
Sr: 0.0000 0.5000 0.0000  2 Ir 2.91
Ir: 0.0000 0.0000 0.0000  6 Sr 2.91
Sr: 0.0000 0.0000 0.5000  2 Ir 2.91

***

First-principles (GGA-PBEsol) data for a relaxed NpB2C crystal, as listed in the Alexandria database.

## Properties
- Magnetization: 0.758 μB per atom
- ΔH_f (0 K): -0.234 eV per atom

a b c (Å): 5.1178 5.1178 5.1178
angles (deg): 78.85 78.85 78.85
With the nearest neighbours (Å) after each atom.
Positions (direct):
B: 0.5000 0.7707 0.2293  1 C 1.49
B: 0.2293 0.5000 0.7707  1 C 1.49
Np: 0.3101 0.3101 0.3101  3 C 2.40, 6 B 2.65
B: 0.7707 0.5000 0.2293  1 C 1.49
Np: 0.0000 0.0000 0.0000  6 C 2.56
B: 0.5000 0.2293 0.7707  1 C 1.49
B: 0.2293 0.7707 0.5000  1 C 1.49
C: 0.0000 0.0000 0.5000  2 B 1.49
C: 0.0000 0.5000 0.0000  2 B 1.49
C: 0.5000 0.0000 0.0000  2 B 1.49
B: 0.7707 0.2293 0.5000  1 C 1.49
Np: 0.6899 0.6899 0.6899  3 C 2.40, 6 B 2.65

***

First-principles (GGA-PBEsol) data for a relaxed Cs2NaFeOs crystal, as listed in the Alexandria database.

## Properties
- Magnetization: 0.602 μB per atom
- ΔH_f (0 K): 1.229 eV per atom

a b c (Å): 4.4138 6.7326 6.7326
angles (deg): 90.00 90.00 90.00
With the nearest neighbours (Å) after each atom.
Positions (direct):
Cs: 0.0000 0.0000 0.5000  2 Os 3.37
Os: 0.0000 0.0000 0.0000  2 Fe 2.21
Na: 0.5000 0.5000 0.5000  8 Cs 4.03, 2 Na 4.41
Fe: 0.5000 0.0000 0.0000  2 Os 2.21
Cs: 0.0000 0.5000 0.0000  2 Os 3.37

***

First-principles (GGA-PBEsol) data for a relaxed Er2AlCu crystal, as listed in the Alexandria database.

## Properties
- Magnetization: 0.000 μB per atom
- ΔH_f (0 K): -0.326 eV per atom

a b c (Å): 3.3677 3.3677 7.2516
angles (deg): 90.00 90.00 90.00
With the nearest neighbours (Å) after each atom.
Positions (direct):
Er: 0.0000 0.0000 0.2658  4 Cu 2.92, 4 Al 3.06
Al: 0.5000 0.5000 0.0000  8 Er 3.06, 4 Al 3.37
Cu: 0.5000 0.5000 0.5000  8 Er 2.92
Er: 0.0000 0.0000 0.7342  4 Cu 2.92, 4 Al 3.06

***

First-principles (GGA-PBEsol) data for a relaxed AlRe3 crystal, as listed in the Alexandria database.

## Properties
- Magnetization: 0.000 μB per atom
- ΔH_f (0 K): -0.011 eV per atom

a b c (Å): 2.8404 4.4311 4.5871
angles (deg): 90.00 90.00 90.00
With the nearest neighbours (Å) after each atom.
Positions (direct):
Re: 0.5000 0.5000 0.8346  8 Re 2.66-2.84, 4 Al 2.73
Al: 0.0000 0.0000 0.9959  10 Re 2.64-2.75, 2 Al 2.84
Re: 0.0000 0.5000 0.3259  10 Re 2.66-2.84, 2 Al 2.68
Re: 0.5000 0.0000 0.5103  4 Al 2.64-2.75, 8 Re 2.67-2.84

***

First-principles (GGA-PBEsol) data for a relaxed Fe2TeCl crystal, as listed in the Alexandria database.

## Properties
- E_form (uncorrected): -0.002 eV/atom
- Magnetization: 1.240 μB per atom

a b c (Å): 3.2309 3.2309 6.9120
angles (deg): 90.00 90.00 90.00
With the nearest neighbours (Å) after each atom.
Positions (direct):
Cl: 0.5000 0.5000 0.8546  1 Fe 2.34
Fe: 0.5000 0.5000 0.1937  1 Cl 2.34, 4 Fe 2.51
Te: 0.0000 0.0000 0.4074  5 Fe 2.51-2.72
Fe: 0.0000 0.0000 0.0443  4 Fe 2.51, 1 Te 2.51, 4 Cl 2.63

***

First-principles (GGA-PBEsol) data for a relaxed SrReGe3 crystal, as listed in the Alexandria database.

## Properties
- Magnetization: 0.683 μB per atom
- ΔH_f (0 K): 2.359 eV per atom
- E above lowest polymorph: 2340 meV per atom

a b c (Å): 5.2519 5.2519 5.2519
angles (deg): 90.00 90.00 90.00
With the nearest neighbours (Å) after each atom.
Positions (direct):
Re: 0.5000 0.5000 0.5000  12 Ge 3.71
Ge: 0.0000 0.0000 0.5000  2 Sr 2.63
Ge: 0.0000 0.5000 0.0000  2 Sr 2.63
Sr: 0.0000 0.0000 0.0000  6 Ge 2.63
Ge: 0.5000 0.0000 0.0000  2 Sr 2.63

***

First-principles (GGA-PBEsol) data for a relaxed ScRe2Ni crystal, as listed in the Alexandria database.

## Properties
- Magnetization: 0.000 μB per atom
- ΔH_f (0 K): 0.091 eV per atom
- E above lowest polymorph: 66 meV per atom

a b c (Å): 2.7324 4.5914 4.7366
angles (deg): 90.00 96.04 90.00
With the nearest neighbours (Å) after each atom.
Positions (direct):
Re: 0.8049 0.0000 0.7483  5 Re 2.51-2.74, 2 Ni 2.66, 2 Sc 2.76
Re: 0.1951 0.0000 0.2517  5 Re 2.51-2.74, 2 Ni 2.66, 2 Sc 2.76
Sc: 0.5000 0.5000 0.0000  4 Ni 2.61-2.86, 2 Sc 2.73, 4 Re 2.76
Ni: 0.0000 0.5000 0.5000  4 Sc 2.61-2.86, 4 Re 2.66, 2 Ni 2.73

***

First-principles (GGA-PBEsol) data for a relaxed BaTcS3 crystal, as listed in the Alexandria database.

## Properties
- E_form (uncorrected): -0.925 eV/atom
- Magnetization: 0.078 μB per atom

a b c (Å): 4.7034 4.7034 4.7034
angles (deg): 90.00 90.00 90.00
With the nearest neighbours (Å) after each atom.
Positions (direct):
S: 0.5000 0.0000 0.0000  2 Tc 2.35
S: 0.0000 0.0000 0.5000  2 Tc 2.35
S: 0.0000 0.5000 0.0000  2 Tc 2.35
Ba: 0.5000 0.5000 0.5000  12 S 3.33
Tc: 0.0000 0.0000 0.0000  6 S 2.35

***

First-principles (GGA-PBEsol) data for a relaxed TcIr2Ru crystal, as listed in the Alexandria database.

## Properties
- Magnetization: 0.000 μB per atom
- ΔH_f (0 K): -0.113 eV per atom
- E above lowest polymorph: 7 meV per atom

a b c (Å): 2.6815 4.6775 4.6775
angles (deg): 109.95 90.00 90.00
With the nearest neighbours (Å) after each atom.
Positions (direct):
Tc: 0.5000 0.5000 0.5000  2 Tc 2.68, 2 Ru 2.68, 8 Ir 2.70
Ir: 0.0000 0.5000 0.0000  4 Ir 2.68, 4 Ru 2.70, 4 Tc 2.70
Ru: 0.5000 0.0000 0.0000  2 Ru 2.68, 2 Tc 2.68, 8 Ir 2.70
Ir: 0.0000 0.0000 0.5000  4 Ir 2.68, 4 Tc 2.70, 4 Ru 2.70

***

First-principles (GGA-PBEsol) data for a relaxed CrPtRh3 crystal, as listed in the Alexandria database.

## Properties
- Magnetization: 1.051 μB per atom
- ΔH_f (0 K): 1.788 eV per atom

a b c (Å): 4.6801 4.6801 4.6801
angles (deg): 90.00 90.00 90.00
With the nearest neighbours (Å) after each atom.
Positions (direct):
Rh: 0.5000 0.0000 0.0000  2 Pt 2.34
Rh: 0.0000 0.5000 0.0000  2 Pt 2.34
Rh: 0.0000 0.0000 0.5000  2 Pt 2.34
Pt: 0.0000 0.0000 0.0000  6 Rh 2.34
Cr: 0.5000 0.5000 0.5000  12 Rh 3.31

***

First-principles (GGA-PBEsol) data for a relaxed La2CoHg crystal, as listed in the Alexandria database.

## Properties
- Magnetization: 0.000 μB per atom
- ΔH_f (0 K): -0.241 eV per atom

a b c (Å): 3.9097 3.9097 8.2821
angles (deg): 76.35 76.35 60.00
With the nearest neighbours (Å) after each atom.
Positions (direct):
La: 0.7314 0.7314 0.8057  3 Co 2.74
Co: 0.0000 0.0000 0.0000  6 La 2.74
La: 0.2686 0.2686 0.1943  3 Co 2.74
Hg: 0.5000 0.5000 0.5000  6 La 3.32

***

First-principles (GGA-PBEsol) data for a relaxed GaCoTeN2 crystal, as listed in the Alexandria database.

## Properties
- E_form (uncorrected): 0.917 eV/atom
- Magnetization: 0.176 μB per atom

a b c (Å): 3.7128 3.7128 5.2246
angles (deg): 90.00 90.00 90.00
With the nearest neighbours (Å) after each atom.
Positions (direct):
N: 0.5000 0.0000 0.0000  2 Co 1.86
Te: 0.0000 0.0000 0.5000  2 Co 2.61, 4 Ga 2.63
Ga: 0.5000 0.5000 0.5000  4 Te 2.63
Co: 0.0000 0.0000 0.0000  4 N 1.86
N: 0.0000 0.5000 0.0000  2 Co 1.86